[1]
DFT (PBE) results for YSb2Mo after structural relaxation.

Results
Space-group type: No. 99

a = 3.686 Å, b = 3.686 Å, c = 6.755 Å
α = 90.00°, β = 90.00°, γ = 90.00°
Positions (direct):
Mo (0.500, 0.500, 0.798)
Sb (0.000, 0.000, 0.955)
Sb (0.500, 0.500, 0.248)
Y (0.000, 0.000, 0.499)


[2]
DFT (PBE) results for YSb2Mo after structural relaxation.

Results
Space-group type: No. 122

a = 4.463 Å, b = 4.463 Å, c = 10.562 Å
α = 77.80°, β = 77.80°, γ = 90.00°
Positions (direct):
Y (0.500, 0.500, 0.000)
Y (0.250, 0.750, 0.500)
Sb (0.656, 0.125, 0.250)
Sb (0.094, 0.625, 0.250)
Sb (0.375, 0.344, 0.750)
Sb (0.875, 0.906, 0.750)
Mo (0.000, 0.000, 0.000)
Mo (0.750, 0.250, 0.500)


Which energy relative to the elements, uncorrected belongs to each record? In order, -0.1473 0.2588 eV/atom.
Which E above lowest polymorph belongs to each record? In order, 44.3 201.1 kJ/mol of formula units.